1.
Below is a crystal of CdNiAu3 relaxed with PBEsol, with properties calculated at the SCAN level.

Lattice parameters (Å, degrees): 4.9893 4.9893 4.9893 90.00 90.00 90.00
Space group Pm-3m (No. 221)
Symmetry-distinct sites (fractional):
Cd: 0.0000 0.0000 0.0000 x1
Ni: 0.5000 0.5000 0.5000 x1
Au: 0.0000 0.0000 0.5000 x3

Computed properties:
- Energy of formation: 1.231 eV per atom
- Calculated total energy: -49.580 eV per atom
- Total moment: 1.110 μB per formula unit

2.
Below is a crystal of ZrP2Rh relaxed with PBEsol, with properties calculated at the SCAN level.

Lattice parameters (Å, degrees): 3.7875 3.7875 14.8923 90.00 90.00 120.00
Space group R-3m (No. 166, hexagonal axes)
Symmetry-distinct sites (fractional):
Zr: 0.0000 0.0000 0.0000 x3
P: 0.0000 0.0000 0.2349 x6
Rh: 0.0000 0.0000 0.5000 x3

Computed properties:
- Polymorph energy (0 for the lowest one): 0.000 eV per atom
- Energy of formation: -0.876 eV per atom
- Calculated total energy: -22.193 eV per atom
- Total moment: 0.000 μB per formula unit